# PBE HfNbInCo, relaxed
# Total moment (μB per formula unit): 2.954
# ΔE to the lowest computed polymorph (meV/atom): 0
data_HfNbInCo
_cell_length_a 6.567
_cell_length_b 6.567
_cell_length_c 6.567
_cell_angle_alpha 90.00
_cell_angle_beta 90.00
_cell_angle_gamma 90.00
_symmetry_space_group_name_H-M 'F -4 3 m'
_symmetry_Int_Tables_number 216
_symmetry_space_group_name_Hall 'F -4 2 3'
loop_
_atom_site_label
_atom_site_type_symbol
_atom_site_fract_x
_atom_site_fract_y
_atom_site_fract_z
Hf1 Hf 0.000 0.000 0.000
Nb1 Nb 0.250 0.250 0.250
In1 In 0.000 0.000 0.500
Co1 Co 0.250 0.250 0.750